A plane-wave DFT calculation with PBE was carried out for a geometry-optimized Pr2TmC2I2 structure.

Geometry as POSCAR:
```
Pr2TmC2I2
1.0
-2.247 2.247 9.963
2.247 -2.247 9.963
2.247 2.247 -9.963
Pr Tm C I
2 1 2 2
direct
0.080 0.080 0.000
0.920 0.920 0.000
0.500 0.500 0.000
0.000 0.500 0.500
0.500 0.000 0.500
0.337 0.337 0.000
0.663 0.663 0.000
```

Computed properties:
- SG = No. 139
- theoretical density (g/cm³) = 6.01
- uncorrected formation energy (eV per atom) = -0.5337
- M_tot (μB per formula unit) = 0.00